Entry 1:
Entry from Alexandria via LeMat-Bulk: a relaxed Sm2Y4Ho3 crystal (PBE).

Cell lengths 6.149, 11.291, 11.291 Å; angles 61.93, 61.96, 61.96 degrees
Sites, in units of the cell vectors:
Ho  0.250  0.595  0.405
Ho  0.750  0.405  0.595
Ho  0.742  0.736  0.932
Ho  0.242  0.932  0.736
Ho  0.758  0.068  0.264
Ho  0.258  0.264  0.068
Y  0.921  0.188  0.905
Y  0.079  0.812  0.095
Y  0.079  0.148  0.424
Y  0.421  0.905  0.188
Y  0.921  0.852  0.576
Y  0.421  0.576  0.852
Y  0.579  0.095  0.812
Y  0.579  0.424  0.148
Sm  0.581  0.766  0.477
Sm  0.919  0.523  0.234
Sm  0.081  0.477  0.766
Sm  0.419  0.234  0.523

Values from the calculation:
**Crystal system**: monoclinic
**Spin magnetization**: 0.000 μB per atom
**Energy of formation**: 94 meV/atom
**SG**: No. 15

=====

Entry 2:
Entry from Alexandria via LeMat-Bulk: a relaxed Ba2CaCrS crystal (PBE).

Cell lengths 6.380, 4.683, 6.380 Å; angles 90.00, 90.00, 90.00 degrees
Site moments in Bohr magnetons follow the coordinates.
Sites, in units of the cell vectors:
Cr  0.000  0.500  0.000  -3.58
Ba  0.500  0.000  0.000  0.11
Ba  0.000  0.000  0.500  0.09
S  0.000  0.000  0.000  0.07
Ca  0.500  0.500  0.500  0.11

Values from the calculation:
**Crystal system**: tetragonal
**Spin magnetization**: 0.531 μB per atom
**Total energy**: -4.219 eV/atom
**SG**: No. 123

=====

Entry 3:
Entry from Alexandria via LeMat-Bulk: a relaxed Li3BBr crystal (PBE).

Cell lengths 4.543, 4.543, 4.543 Å; angles 90.00, 90.00, 90.00 degrees
Site moments in Bohr magnetons follow the coordinates.
Sites, in units of the cell vectors:
Li  0.000  0.500  0.000  0.05
Li  0.000  0.000  0.500  0.05
Li  0.500  0.000  0.000  0.04
B  0.000  0.000  0.000  0.88
Br  0.500  0.500  0.500  0.15

Values from the calculation:
**Crystal system**: cubic
**Spin magnetization**: 0.600 μB per atom
**Energy above the lowest structure with this stoichiometry**: 0.00 kJ per mole of atoms
**SG**: No. 221

=====

Entry 4:
Entry from Alexandria via LeMat-Bulk: a relaxed RbLi2CuI4 crystal (PBE).

Cell lengths 4.333, 8.152, 15.930 Å; angles 90.00, 90.00, 105.41 degrees
Sites, in units of the cell vectors:
I  0.238  0.476  0.390
I  0.449  0.897  0.750
I  0.000  0.000  0.500
I  0.000  0.000  0.000
I  0.551  0.103  0.250
I  0.762  0.524  0.890
I  0.238  0.476  0.110
I  0.762  0.524  0.610
Li  0.388  0.776  0.931
Li  0.388  0.776  0.569
Li  0.612  0.224  0.431
Li  0.612  0.224  0.069
Rb  0.137  0.274  0.750
Rb  0.863  0.726  0.250
Cu  0.152  0.304  0.250
Cu  0.848  0.696  0.750

Values from the calculation:
**Crystal system**: orthorhombic
**Spin magnetization**: 0.000 μB per atom
**Total energy**: -2.856 eV/atom
**SG**: No. 63

=====

Entry 5:
Entry from Alexandria via LeMat-Bulk: a relaxed Be4CrSi2 crystal (PBE).

Cell lengths 5.801, 5.818, 4.709 Å; angles 143.94, 78.95, 120.11 degrees
Sites, in units of the cell vectors:
Si  0.636  0.136  0.356
Si  0.221  0.721  0.358
Be  0.148  0.648  0.801
Be  0.929  0.929  0.358
Be  0.709  0.209  0.913
Be  0.429  0.429  0.358
Cr  0.929  0.929  0.857

Values from the calculation:
**Crystal system**: triclinic
**Spin magnetization**: 0.000 μB per atom
**Total energy**: -5.068 eV/atom
**SG**: No. 2

=====

Entry 6:
Entry from Alexandria via LeMat-Bulk: a relaxed HgPtCl crystal (PBE).

Cell lengths 4.648, 4.648, 4.648 Å; angles 60.00, 60.00, 60.00 degrees
Sites, in units of the cell vectors:
Cl  0.500  0.500  0.500
Hg  0.750  0.750  0.750
Pt  0.000  0.000  0.000

Values from the calculation:
**Crystal system**: cubic
**Spin magnetization**: 0.000 μB per atom
**Energy above the lowest structure with this stoichiometry**: 51.13 kJ per mole of atoms
**SG**: No. 216

=====

Entry 7:
Entry from Alexandria via LeMat-Bulk: a relaxed Sr2SiIr2 crystal (PBE).

Cell lengths 6.525, 6.525, 5.066 Å; angles 90.00, 90.00, 90.00 degrees
Sites, in units of the cell vectors:
Sr  0.822  0.322  0.500
Sr  0.322  0.178  0.500
Sr  0.178  0.678  0.500
Sr  0.678  0.822  0.500
Ir  0.360  0.860  0.000
Ir  0.140  0.360  0.000
Ir  0.860  0.640  0.000
Ir  0.640  0.140  0.000
Si  0.500  0.500  0.000
Si  0.000  0.000  0.000

Values from the calculation:
**Crystal system**: tetragonal
**Spin magnetization**: 0.000 μB per atom
**Total energy**: -5.576 eV/atom
**SG**: No. 127

=====

Entry 8:
Entry from Alexandria via LeMat-Bulk: a relaxed ZrMo2Pt crystal (PBE).

Cell lengths 5.228, 5.228, 5.228 Å; angles 141.71, 127.72, 66.62 degrees
Sites, in units of the cell vectors:
Pt  0.505  0.505  0.000
Mo  0.767  0.267  0.500
Mo  0.986  0.986  0.000
Zr  0.242  0.742  0.500

Values from the calculation:
**Crystal system**: orthorhombic
**Spin magnetization**: 0.000 μB per atom
**Energy of formation**: -189 meV/atom
**Energy above the lowest structure with this stoichiometry**: 7.90 kJ per mole of atoms
**SG**: No. 44

=====

Q: What is the formula in the seventh record?
A: Sr2SiIr2